! Dy4W6O19 (PBE+U, optimized geometry); values from VASP
! - space-group type = I23
! - E (Ry per atom) = -0.5714
&SYSTEM
  ibrav = 0, nat = 29, ntyp = 3
/
ATOMIC_SPECIES
Dy 162.50 Dy.upf
W 183.84 W.upf
O 16.00 O.upf
CELL_PARAMETERS angstrom
-7.1045 -3.3779 0.4817
5.5832 -5.5376 0.5283
0.8576 5.1657 5.8903
ATOMIC_POSITIONS angstrom
Dy 0.6113 3.6820 4.1985
Dy 3.9796 -3.9471 0.3766
Dy -0.1906 -1.0770 1.9819
Dy -5.0639 -2.4077 0.3433
W 0.9851 0.4538 5.4894
W -1.6487 -4.2036 1.4109
W 3.0041 -1.4534 3.3529
W -3.6678 -2.2964 3.5474
W 1.5441 -4.5908 2.8018
W -2.2078 0.8410 4.0985
O -4.2695 1.2219 4.3551
O -1.9773 0.5659 2.0169
O -0.4815 -2.8220 0.3197
O -1.0398 -6.0935 0.6903
O 4.4021 -0.2542 4.3870
O 2.0387 -0.1177 2.0317
O 0.0000 0.0000 0.0000
O -0.3033 0.0987 3.9933
O -2.2664 1.4767 6.0431
O -0.4932 -4.6267 2.9951
O -3.0801 -5.4269 2.2132
O 1.7355 -4.4484 0.7690
O -2.0075 -2.4680 2.4346
O 1.8543 1.7095 4.1268
O 1.9061 -1.3143 5.0259
O -4.2577 -1.0345 2.0478
O 4.1393 -2.8713 4.2963
O 1.4330 -2.5905 2.6989
O -2.6419 -1.0032 4.7576